# LaVMoOs2

A relaxed LaVMoOs2 crystal (PBE-GGA, the Alexandria database).

Cell lengths 4.656, 4.594, 4.656 Å; angles 90.00, 90.00, 90.00 degrees
Last column: magnetic moment on the atom in μB.
Fractional coordinates of all 5 atoms:
La 0.500 0.500 0.500  0.06
Os 0.500 0.000 0.000  0.01
Os 0.000 0.000 0.500  0.03
V 0.000 0.000 0.000  -0.09
Mo 0.000 0.500 0.000  0.93

Magnetic moment in μB per cell: 1.10
Formation energy in meV per atom: 723